A relaxed structure of KMoBr2, computed with PBE-GGA.

a b c (Å): 5.5009 5.5009 5.5009
angles (deg): 60.00 60.00 60.00
With the nearest neighbours (Å) after each atom.
Fractional positions:
Br 0.0000 0.0000 0.0000  4 Mo 3.37, 4 Br 3.37
K 0.5000 0.5000 0.5000  4 Mo 3.37, 4 Br 3.37
Mo 0.7500 0.7500 0.7500  4 Br 3.37, 4 K 3.37
Br 0.2500 0.2500 0.2500  4 Br 3.37, 4 K 3.37

Summary:
Distance to the lowest polymorph of the same formula, meV/atom: 600
Symmetry: F-43m (216)
Magnetization, μB/f.u.: 5.000
Raw formation energy, eV per atom: 0.3947
DFT total energy, eV/atom: -3.424

***

A relaxed structure of KNaMoBr6, computed with PBE-GGA.

a b c (Å): 7.3540 7.3540 13.7338
angles (deg): 90.00 90.00 120.00
With the nearest neighbours (Å) after each atom.
Fractional positions:
Br 0.9571 0.3474 0.1413  1 Mo 2.56
K 0.0000 0.0000 0.0000  6 Br 3.35
Na 0.6667 0.3333 0.7500  6 Br 2.98
Mo 0.6667 0.3333 0.2500  6 Br 2.56
Mo 0.3333 0.6667 0.7500  6 Br 2.56
Br 0.0429 0.6526 0.8587  1 Mo 2.56
Br 0.3903 0.3474 0.3587  1 Mo 2.56
Br 0.6526 0.0429 0.3587  1 Mo 2.56
Br 0.6526 0.6097 0.1413  1 Mo 2.56
Na 0.3333 0.6667 0.2500  6 Br 2.98
Br 0.3474 0.9571 0.6413  1 Mo 2.56
Br 0.9571 0.6097 0.3587  1 Mo 2.56
Br 0.6097 0.9571 0.8587  1 Mo 2.56
Br 0.0429 0.3903 0.6413  1 Mo 2.56
Br 0.3474 0.3903 0.8587  1 Mo 2.56
Br 0.3903 0.0429 0.1413  1 Mo 2.56
K 0.0000 0.0000 0.5000  6 Br 3.35
Br 0.6097 0.6526 0.6413  1 Mo 2.56

Summary:
Symmetry: P-31c (163)
Magnetization, μB/f.u.: 2.000
Raw formation energy, eV per atom: -1.0020
DFT total energy, eV/atom: -3.589

***

A relaxed structure of K2NaMoBr, computed with PBE-GGA.

a b c (Å): 6.6922 5.7411 6.6922
angles (deg): 90.00 90.00 90.00
With the nearest neighbours (Å) after each atom.
Fractional positions:
Na 0.0000 0.0000 0.0000  2 Mo 2.87
Mo 0.0000 0.5000 0.0000  2 Na 2.87
K 0.5000 0.0000 0.0000  2 Na 3.35
Br 0.5000 0.5000 0.5000  8 K 4.41, 4 Mo 4.73
K 0.0000 0.0000 0.5000  2 Na 3.35

Summary:
Symmetry: P4/mmm (123)
Magnetization, μB/f.u.: 5.530
Raw formation energy, eV per atom: 0.7014
DFT total energy, eV/atom: -2.502